This record from Alexandria via LeMat-Bulk describes NiRhI2N after structural relaxation. The functional is PBE.

```
NiRhI2N
1.0
5.5710 0.0000 0.0000
0.0000 5.5710 0.0000
0.0000 0.0000 3.6752
Ni Rh I N
1 1 2 1
direct
0.0000 0.0000 0.0000 Ni
0.5000 0.5000 0.5000 Rh
0.0000 0.5000 0.5000 I
0.5000 0.0000 0.5000 I
0.5000 0.5000 0.0000 N
```

Calculated values
- spin magnetization (Bohr magnetons per cell) = 1.12
- uncorrected formation energy (eV per formula unit) = 3.9